DFT (PBE) results for La3YAl4 after structural relaxation.

The structure belongs to space group P4/mmm (No. 123); the cell edges are 3.7469, 3.7469 and 15.0544 Å and the angles 90.00°, 90.00° and 90.00°. The inequivalent atoms are La at (0.0000, 0.0000, 0.0000), La at (0.0000, 0.0000, 0.2564), Y at (0.0000, 0.0000, 0.5000), Al at (0.5000, 0.5000, 0.1278) and Al at (0.5000, 0.5000, 0.3897).

Its total energy is -39.225 eV per cell. The formation energy comes out at -0.376 eV per atom.

---

DFT (PBE) results for Cs3Cu2F7 after structural relaxation.

The structure belongs to space group I4/mmm (No. 139); the cell edges are 4.3141, 4.3141 and 22.9250 Å and the angles 90.00°, 90.00° and 90.00°. The inequivalent atoms are Cs at (0.0000, 0.0000, 0.0000), Cs at (0.0000, 0.0000, 0.1839), Cu at (0.0000, 0.0000, 0.4097), F at (0.0000, 0.0000, 0.3235), F at (0.0000, 0.0000, 0.5000) and F at (0.0000, 0.5000, 0.0923).

Its total energy is -99.244 eV per cell. The value obtained for the uncorrected formation energy is -2.15 eV/atom.

---

DFT (PBE) results for YIrAuF2 after structural relaxation.

The structure belongs to space group P4/mmm (No. 123); the cell edges are 4.1465, 4.1465 and 5.9437 Å and the angles 90.00°, 90.00° and 90.00°. The inequivalent atoms are Y at (0.0000, 0.0000, 0.0000), Ir at (0.0000, 0.0000, 0.5000), Au at (0.5000, 0.5000, 0.5000) and F at (0.0000, 0.5000, 0.0000).

Its total energy is -29.956 eV per cell. The value obtained for the uncorrected formation energy is -1.52 eV/atom.

---

DFT (PBE) results for La8As4Br3 after structural relaxation.

The structure belongs to space group C2/m (No. 12); the cell edges are 12.2353, 12.2772 and 8.6678 Å and the angles 90.00°, 134.88° and 90.00°. The inequivalent atoms are La at (0.0000, 0.2411, 0.0000), La at (0.0000, 0.2445, 0.5000), La at (0.2346, 0.0000, 0.9850), La at (0.2417, 0.0000, 0.4868), As at (0.0000, 0.0000, 0.0000), As at (0.0000, 0.0000, 0.5000), As at (0.2500, 0.2500, 0.5000), Br at (0.0000, 0.5000, 0.0000) and Br at (0.2500, 0.2500, 0.0000).

Its total energy is -168.070 eV per cell. The value obtained for the uncorrected formation energy is -1.40 eV/atom.

---

Which formula does entry 1 have?
La3YAl4